This record from Alexandria via LeMat-Bulk describes an optimized crystal structure of YAl2Pt. The functional is PBE.

The structure in POSCAR format:
```
YAl2Pt
1.0
2.882 -5.054 0.000
2.882 5.054 0.000
-1.545 0.000 2.677
Y Al Pt
1 2 1
Direct
0.000 0.000 0.000
0.000 0.500 0.500
0.500 0.000 0.500
0.500 0.500 0.000
```

Calculated values
The total magnetization comes out at 0.000 μB per formula unit. The calculation puts the volume at 78.0 Å³/f.u. As for the calculated total energy: -5.366 eV/atom. Its formation energy is -0.368 eV per atom. Its crystal system is monoclinic.